Crystalline LaTlZnF6 at its relaxed geometry, computed with GGA-PBE.

abc: 6.063 6.063 11.096
angles: 90.00 90.00 120.00
Atoms (fractional coordinates):
La: 0.333 0.667 0.250
La: 0.667 0.333 0.750
Tl: 0.000 0.000 0.000
Tl: 0.000 0.000 0.500
Zn: 0.333 0.667 0.750
Zn: 0.667 0.333 0.250
F: 0.032 0.395 0.648
F: 0.032 0.637 0.852
F: 0.363 0.395 0.852
F: 0.363 0.968 0.648
F: 0.395 0.032 0.148
F: 0.395 0.363 0.352
F: 0.605 0.637 0.648
F: 0.605 0.968 0.852
F: 0.637 0.032 0.352
F: 0.637 0.605 0.148
F: 0.968 0.363 0.148
F: 0.968 0.605 0.352

total magnetic moment	0.000	μB per cell
electronic total energy	-92.9	eV per cell
E_form (uncorrected)	-2.9618	eV per atom